No. 1
Na4SI: relaxed, PBE.

Lattice parameters (Å, degrees): 4.943 4.943 7.762 90.00 90.00 90.00
Element x y z (fractional)
S  0.500  0.500  0.500
Na  0.000  0.500  0.697
Na  0.500  0.000  0.303
Na  0.500  0.000  0.697
Na  0.000  0.500  0.303
I  0.000  0.000  0.000

* V: 190 Å³/cell
* E: -15.72 eV per formula unit
* energy relative to the elements, uncorrected: -0.794 eV per atom
* total magnetic moment: 0.32 μB/f.u.

***

No. 2
NaS2I: relaxed, PBE.

Lattice parameters (Å, degrees): 8.770 8.770 8.770 25.98 25.98 25.98
Element x y z (fractional)
I  0.000  0.000  0.000
S  0.097  0.097  0.097
S  0.903  0.903  0.903
Na  0.500  0.500  0.500

* V: 114 Å³/cell
* E: -11.03 eV per formula unit
* energy relative to the elements, uncorrected: 0.024 eV per atom
* total magnetic moment: 0.00 μB/f.u.
* excess energy over the best structure of this formula in the dataset: 0 meV per atom

***

No. 3
NaSI2: relaxed, PBE.

Lattice parameters (Å, degrees): 6.121 6.121 9.684 71.58 71.58 90.00
Element x y z (fractional)
S  0.750  0.250  0.500
S  0.000  0.000  0.000
I  0.057  0.625  0.250
I  0.375  0.307  0.750
I  0.693  0.125  0.250
I  0.875  0.943  0.750
Na  0.250  0.750  0.500
Na  0.500  0.500  0.000

* V: 325 Å³/cell
* E: -9.12 eV per formula unit
* energy relative to the elements, uncorrected: -0.143 eV per atom
* total magnetic moment: 0.00 μB/f.u.
* excess energy over the best structure of this formula in the dataset: 74 meV per atom

***

No. 4
NaSb2SI: relaxed, PBE.

Lattice parameters (Å, degrees): 5.329 5.329 5.660 90.00 90.00 90.00
Element x y z (fractional)
Na  0.500  0.500  0.500
S  0.000  0.000  0.000
Sb  0.500  0.000  0.000
Sb  0.000  0.500  0.000
I  0.000  0.000  0.500

* V: 161 Å³/cell
* E: -14.15 eV per formula unit
* energy relative to the elements, uncorrected: 0.219 eV per atom
* total magnetic moment: 0.00 μB/f.u.
* excess energy over the best structure of this formula in the dataset: 0 meV per atom

***

No. 5
NaSb2SI: relaxed, PBE.

Lattice parameters (Å, degrees): 5.571 5.571 5.290 90.00 90.00 90.00
Element x y z (fractional)
S  0.500  0.500  0.500
Sb  0.000  0.500  0.000
Sb  0.500  0.000  0.000
Na  0.000  0.000  0.000
I  0.000  0.000  0.500

* V: 164 Å³/cell
* E: -10.78 eV per formula unit
* energy relative to the elements, uncorrected: 0.893 eV per atom
* total magnetic moment: 0.00 μB/f.u.
* excess energy over the best structure of this formula in the dataset: 674 meV per atom

***

No. 6
Na6SeSI2: relaxed, PBE.

Lattice parameters (Å, degrees): 7.582 7.852 10.815 90.00 90.00 90.00
Element x y z (fractional)
Na  0.230  0.450  0.500
Na  0.770  0.450  0.500
Na  0.500  0.210  0.746
Na  0.250  0.011  0.000
Na  0.270  0.550  0.000
Na  0.750  0.011  0.000
Na  0.730  0.550  0.000
Na  0.000  0.790  0.754
Na  0.500  0.210  0.254
Na  0.000  0.790  0.246
Na  0.250  0.989  0.500
Na  0.750  0.989  0.500
I  0.500  0.790  0.774
I  0.000  0.210  0.274
I  0.000  0.210  0.726
I  0.500  0.790  0.226
Se  0.000  0.724  0.500
Se  0.500  0.276  0.000
S  0.000  0.766  0.000
S  0.500  0.234  0.500

* V: 644 Å³/cell
* E: -29.53 eV per formula unit
* energy relative to the elements, uncorrected: -1.090 eV per atom
* total magnetic moment: 0.00 μB/f.u.

***

> V of number 6 (Na6SeSI2)?

644 Å³/cell